First-principles (meta-GGA SCAN) data for a PBEsol-optimized structure of CrTcW, as listed in the Alexandria database.

Cell lengths 3.018, 3.018, 4.999 Å; angles 107.57, 107.57, 90.00 degrees
Fractional coordinates of all 3 atoms:
W (0.338, 0.338, 0.677)
Cr (0.997, 0.997, 0.995)
Tc (0.664, 0.664, 0.328)

- Energy relative to the lowest polymorph listed for this composition: 0.000 eV per atom
- Spin magnetization: 0.0 μB/f.u.
- Calculated formation energy: 0.02 eV/atom
- DFT total energy: -41.021 eV per atom
- Space-group type: I4mm (107)

First-principles (meta-GGA SCAN) data for a PBEsol-optimized structure of Ba2CoIr, as listed in the Alexandria database.

Cell lengths 4.194, 4.194, 8.822 Å; angles 76.25, 76.25, 60.00 degrees
Last column: magnetic moment on the atom in μB.
Fractional coordinates of all 4 atoms:
Ir (0.208, 0.208, 0.375)  0.27
Ba (0.792, 0.792, 0.625)  0.01
Ba (0.958, 0.958, 0.125)  0.00
Co (0.542, 0.542, 0.375)  1.56

- Energy relative to the lowest polymorph listed for this composition: 0.000 eV per atom
- Spin magnetization: 2.2 μB/f.u.
- Calculated formation energy: -0.10 eV/atom
- DFT total energy: -41.971 eV per atom
- Space-group type: R3m (160)

First-principles (meta-GGA SCAN) data for a PBEsol-optimized structure of Li2BeIr, as listed in the Alexandria database.

Cell lengths 3.260, 3.260, 4.214 Å; angles 90.00, 90.00, 90.00 degrees
Last column: magnetic moment on the atom in μB.
Fractional coordinates of all 4 atoms:
Be (0.500, 0.500, 0.500)  0.00
Ir (0.000, 0.000, 0.500)  0.25
Li (0.500, 0.000, 0.000)  0.00
Li (0.000, 0.500, 0.000)  0.00

- Spin magnetization: 0.2 μB/f.u.
- Calculated formation energy: -0.29 eV/atom
- DFT total energy: -20.347 eV per atom
- Space-group type: P4/mmm (123)

First-principles (meta-GGA SCAN) data for a PBEsol-optimized structure of MgAsAu, as listed in the Alexandria database.

Cell lengths 3.739, 4.266, 4.266 Å; angles 120.00, 90.00, 90.00 degrees
Fractional coordinates of all 3 atoms:
Mg (0.360, 0.667, 0.333)
Au (0.745, 0.333, 0.667)
As (0.895, 0.000, 0.000)

- Spin magnetization: 0.0 μB/f.u.
- Calculated formation energy: -0.37 eV/atom
- DFT total energy: -31.806 eV per atom
- Space-group type: P3m1 (156)

First-principles (meta-GGA SCAN) data for a PBEsol-optimized structure of Li2FeTc, as listed in the Alexandria database.

Cell lengths 2.795, 3.858, 5.110 Å; angles 112.18, 105.87, 90.00 degrees
Last column: magnetic moment on the atom in μB.
Fractional coordinates of all 4 atoms:
Tc (0.500, 0.000, 0.000)  -0.46
Li (0.739, 0.739, 0.478)  -0.02
Li (0.261, 0.261, 0.522)  -0.02
Fe (0.000, 0.500, 0.000)  1.78

- Energy relative to the lowest polymorph listed for this composition: 0.011 eV per atom
- Spin magnetization: 1.2 μB/f.u.
- Calculated formation energy: 0.34 eV/atom
- DFT total energy: -14.149 eV per atom
- Space-group type: Immm (71)

First-principles (meta-GGA SCAN) data for a PBEsol-optimized structure of CaIn2Sb, as listed in the Alexandria database.

Cell lengths 3.944, 3.944, 6.835 Å; angles 90.00, 90.00, 90.00 degrees
Fractional coordinates of all 4 atoms:
Ca (0.500, 0.500, 0.500)
In (0.000, 0.000, 0.778)
In (0.000, 0.000, 0.222)
Sb (0.500, 0.500, 0.000)

- Spin magnetization: 0.0 μB/f.u.
- DFT total energy: -28.752 eV per atom
- Space-group type: P4/mmm (123)
- Energy relative to the elements, uncorrected: -328 meV/atom

First-principles (meta-GGA SCAN) data for a PBEsol-optimized structure of ZnPt2Cl, as listed in the Alexandria database.

Cell lengths 2.830, 4.385, 4.950 Å; angles 90.00, 90.00, 90.00 degrees
Fractional coordinates of all 4 atoms:
Zn (0.500, 0.500, 0.000)
Cl (0.000, 0.500, 0.500)
Pt (0.000, 0.000, 0.000)
Pt (0.500, 0.000, 0.500)

- Energy relative to the lowest polymorph listed for this composition: 0.185 eV per atom
- Spin magnetization: 0.0 μB/f.u.
- DFT total energy: -40.334 eV per atom
- Space-group type: Pmmm (47)
- Energy relative to the elements, uncorrected: 136 meV/atom

First-principles (meta-GGA SCAN) data for a PBEsol-optimized structure of Fe2CoHg, as listed in the Alexandria database.

Cell lengths 3.713, 3.713, 4.607 Å; angles 113.76, 113.76, 90.00 degrees
Last column: magnetic moment on the atom in μB.
Fractional coordinates of all 4 atoms:
Hg (0.500, 0.500, 0.000)  -0.10
Co (0.000, 0.000, 0.000)  1.72
Fe (0.250, 0.750, 0.500)  2.92
Fe (0.750, 0.250, 0.500)  2.92

- Spin magnetization: 7.2 μB/f.u.
- Calculated formation energy: 0.16 eV/atom
- DFT total energy: -30.272 eV per atom
- Space-group type: I4/mmm (139)

First-principles (meta-GGA SCAN) data for a PBEsol-optimized structure of TeAsN2, as listed in the Alexandria database.

Cell lengths 5.346, 5.698, 5.346 Å; angles 62.02, 90.00, 117.98 degrees
Fractional coordinates of all 8 atoms:
As (0.250, 0.500, 0.250)
N (0.375, 0.250, 0.237)
Te (0.750, 0.500, 0.750)
N (0.875, 0.250, 0.513)
N (0.237, 0.750, 0.875)
N (0.513, 0.750, 0.375)
As (0.500, 0.000, 0.500)
Te (0.000, 0.000, 0.000)

- Spin magnetization: 0.0 μB/f.u.
- DFT total energy: -17.948 eV per atom
- Space-group type: I-42d (122)
- Energy relative to the elements, uncorrected: 1058 meV/atom

First-principles (meta-GGA SCAN) data for a PBEsol-optimized structure of NaI2BrO, as listed in the Alexandria database.

Cell lengths 3.989, 5.911, 5.911 Å; angles 90.00, 90.00, 90.00 degrees
Fractional coordinates of all 5 atoms:
I (0.000, 0.500, 0.000)
Na (0.500, 0.500, 0.500)
Br (0.000, 0.000, 0.000)
I (0.000, 0.000, 0.500)
O (0.500, 0.000, 0.000)

- Spin magnetization: 0.0 μB/f.u.
- DFT total energy: -20.761 eV per atom
- Space-group type: P4/mmm (123)
- Energy relative to the elements, uncorrected: -84 meV/atom

First-principles (meta-GGA SCAN) data for a PBEsol-optimized structure of K4Al3Si3ClO12, as listed in the Alexandria database.

Cell lengths 9.300, 9.300, 9.300 Å; angles 90.00, 90.00, 90.00 degrees
Last column: magnetic moment on the atom in μB.
Fractional coordinates of all 46 atoms:
O (0.145, 0.477, 0.154)  0.00
O (0.977, 0.355, 0.346)  0.00
Si (0.500, 0.250, 0.000)  0.00
O (0.654, 0.023, 0.355)  0.00
O (0.145, 0.523, 0.846)  0.00
O (0.154, 0.855, 0.523)  0.00
Al (0.250, 0.500, 0.000)  0.00
O (0.645, 0.346, 0.023)  0.00
K (0.686, 0.686, 0.686)  0.00
O (0.477, 0.846, 0.855)  0.00
Al (0.000, 0.250, 0.500)  0.00
Cl (0.500, 0.500, 0.500)  0.08
O (0.855, 0.523, 0.154)  0.00
O (0.654, 0.977, 0.645)  0.00
O (0.346, 0.977, 0.355)  0.00
K (0.186, 0.814, 0.814)  0.00
K (0.814, 0.186, 0.814)  0.00
O (0.855, 0.477, 0.846)  0.00
O (0.977, 0.645, 0.654)  0.00
O (0.355, 0.654, 0.023)  0.00
O (0.023, 0.645, 0.346)  0.00
K (0.186, 0.186, 0.186)  0.00
Si (0.000, 0.500, 0.750)  0.00
Al (0.500, 0.000, 0.750)  0.00
O (0.355, 0.346, 0.977)  0.00
O (0.523, 0.846, 0.145)  0.00
Si (0.750, 0.000, 0.500)  0.00
Al (0.750, 0.500, 0.000)  0.00
Si (0.500, 0.750, 0.000)  0.00
O (0.154, 0.145, 0.477)  0.00
O (0.346, 0.023, 0.645)  0.00
K (0.814, 0.814, 0.186)  0.00
Si (0.000, 0.500, 0.250)  0.00
O (0.023, 0.355, 0.654)  0.00
O (0.523, 0.154, 0.855)  0.00
Al (0.000, 0.750, 0.500)  0.00
Cl (0.000, 0.000, 0.000)  0.08
O (0.645, 0.654, 0.977)  0.00
Si (0.250, 0.000, 0.500)  0.00
O (0.846, 0.855, 0.477)  0.00
O (0.846, 0.145, 0.523)  0.00
K (0.314, 0.686, 0.314)  0.00
K (0.314, 0.314, 0.686)  0.00
K (0.686, 0.314, 0.314)  0.00
O (0.477, 0.154, 0.145)  0.00
Al (0.500, 0.000, 0.250)  0.00

- Spin magnetization: 0.1 μB/f.u.
- DFT total energy: -10.344 eV per atom
- Space-group type: P-43n (218)
- Energy relative to the elements, uncorrected: -2980 meV/atom

First-principles (meta-GGA SCAN) data for a PBEsol-optimized structure of Al2ReAs, as listed in the Alexandria database.

Cell lengths 3.325, 4.334, 4.914 Å; angles 116.17, 109.77, 90.00 degrees
Fractional coordinates of all 4 atoms:
As (0.500, 0.000, 0.000)
Al (0.753, 0.753, 0.506)
Al (0.247, 0.247, 0.494)
Re (0.000, 0.500, 0.000)

- Energy relative to the lowest polymorph listed for this composition: 0.000 eV per atom
- Spin magnetization: 0.0 μB/f.u.
- Calculated formation energy: 0.05 eV/atom
- DFT total energy: -26.645 eV per atom
- Space-group type: Immm (71)

- Look up the spin magnetization of the first one.
  0.0 μB/f.u.

- Which formula does entry 10 have?
  NaI2BrO

Copy entry 1 word for word.
First-principles (meta-GGA SCAN) data for a PBEsol-optimized structure of CrTcW, as listed in the Alexandria database.

Cell lengths 3.018, 3.018, 4.999 Å; angles 107.57, 107.57, 90.00 degrees
Fractional coordinates of all 3 atoms:
W (0.338, 0.338, 0.677)
Cr (0.997, 0.997, 0.995)
Tc (0.664, 0.664, 0.328)

- Energy relative to the lowest polymorph listed for this composition: 0.000 eV per atom
- Spin magnetization: 0.0 μB/f.u.
- Calculated formation energy: 0.02 eV/atom
- DFT total energy: -41.021 eV per atom
- Space-group type: I4mm (107)

- Among the records above, which one has the highest DFT total energy?
  K4Al3Si3ClO12